# Na3Sm3TiS8 | Alexandria via LeMat-Bulk | PBE | relaxed
# DFT total energy   -252.40 eV/cell
data_Na3Sm3TiS8
_cell_length_a 7.9349
_cell_length_b 7.9349
_cell_length_c 20.2386
_cell_angle_alpha 90.00
_cell_angle_beta 90.00
_cell_angle_gamma 120.00
_space_group_name_H-M_alt 'R -3 m'
_space_group_IT_number 166
_space_group_name_Hall '-R 3 2"'
loop_
_atom_site_label
_atom_site_fract_x
_atom_site_fract_y
_atom_site_fract_z
Na1 0.0000 0.5000 0.0000
Sm1 0.0000 0.5000 0.5000
Ti1 0.0000 0.0000 0.5000
S1 0.0000 0.0000 0.2446
S2 0.0339 0.5170 0.2373